1.
16
Lattice="6.584 0.000 0.000 0.000 6.584 0.000 0.000 0.000 6.584" Properties=species:S:1:pos:R:3 comment="MgNiBiPt, relaxed, DFT GGA-PBE" sg="F-43m (216)" de_polymorph_mev_per_atom=0 magnetic_moment_mub_per_cell=0.01 pbc="T T T"
Mg 0.000 0.000 0.000
Mg 0.000 3.292 3.292
Mg 3.292 0.000 3.292
Mg 3.292 3.292 0.000
Ni 1.646 1.646 4.938
Ni 1.646 4.938 1.646
Ni 4.938 1.646 1.646
Ni 4.938 4.938 4.938
Bi 0.000 0.000 3.292
Bi 0.000 3.292 0.000
Bi 3.292 0.000 0.000
Bi 3.292 3.292 3.292
Pt 1.646 1.646 1.646
Pt 1.646 4.938 4.938
Pt 4.938 1.646 4.938
Pt 4.938 4.938 1.646



2.
16
Lattice="5.303 0.000 0.000 0.000 5.317 0.000 -0.585 0.000 11.742" Properties=species:S:1:pos:R:3 comment="NbHgSeO, relaxed, DFT GGA-PBE" sg="P2_1 (4)" de_polymorph_mev_per_atom=144 magnetic_moment_mub_per_cell=0.02 pbc="T T T"
Nb -0.004 0.000 5.011
Nb 2.085 2.090 5.012
Nb 2.633 4.748 6.730
Nb 4.722 2.658 6.731
Hg 0.933 1.167 0.004
Hg 2.483 4.945 2.125
Hg 2.235 2.287 9.617
Hg 3.785 3.825 11.738
Se 0.723 3.433 3.036
Se 0.725 4.046 8.694
Se 3.993 1.387 3.048
Se 3.995 0.775 8.706
O 1.032 3.688 5.867
O 1.064 1.058 6.570
O 3.654 3.717 5.172
O 3.686 1.029 5.875



3.
16
Lattice="6.726 0.000 0.000 0.000 7.211 0.000 0.000 0.000 5.159" Properties=species:S:1:pos:R:3 comment="SrPtNO, relaxed, DFT GGA-PBE" sg="Pca2_1 (29)" de_polymorph_mev_per_atom=71 magnetic_moment_mub_per_cell=0.01 pbc="T T T"
Sr 0.519 1.194 0.000
Sr 2.845 1.194 2.580
Sr 3.882 6.017 0.000
Sr 6.208 6.017 2.580
Pt 0.993 4.510 0.149
Pt 2.370 4.510 2.728
Pt 4.356 2.701 0.149
Pt 5.733 2.701 2.728
N 0.691 3.834 3.423
N 2.672 3.834 0.844
N 4.054 3.377 3.423
N 6.036 3.377 0.844
O 0.413 1.054 2.530
O 2.950 1.054 5.110
O 3.776 6.157 2.530
O 6.313 6.157 5.110



4.
11
Lattice="6.610 -4.414 0.000 6.610 4.414 0.000 -0.534 0.000 7.534" Properties=species:S:1:pos:R:3 comment="Ga2PtI4Cl4, relaxed, DFT GGA-PBE" sg="C2/m (12)" de_polymorph_mev_per_atom=0 magnetic_moment_mub_per_cell=0.01 pbc="T T T"
Ga 2.736 0.000 2.566
Ga 9.950 0.000 4.968
Pt 0.000 0.000 0.000
I 4.651 2.566 6.335
I 8.035 2.566 1.199
I 4.651 -2.566 6.335
I 8.035 -2.566 1.199
Cl 2.202 0.000 4.669
Cl 4.865 0.000 2.219
Cl 7.821 0.000 5.315
Cl 10.484 0.000 2.864



5.
12
Lattice="2.492 1.439 8.042 -2.492 1.439 8.042 0.000 -2.878 8.042" Properties=species:S:1:pos:R:3 comment="YEr2Fe2Ni7, relaxed, DFT GGA-PBE" formation_enthalpy_0k_ev_per_atom=-0.360 sg="R-3m (166)" magnetic_moment_mub_per_cell=6.09 pbc="T T T"
Y 0.000 0.000 0.000
Er 0.000 0.000 3.355
Er 0.000 0.000 20.770
Fe 0.000 0.000 8.028
Fe 0.000 0.000 16.097
Ni -1.246 -0.720 10.018
Ni 0.000 -1.439 14.107
Ni -1.246 0.720 14.107
Ni 0.000 0.000 12.063
Ni 1.246 -0.720 10.018
Ni 0.000 1.439 10.018
Ni 1.246 0.720 14.107



6.
11
Lattice="-2.072 2.077 11.838 2.072 -2.077 11.838 2.072 2.077 -11.838" Properties=species:S:1:pos:R:3 comment="LaPr2Fe2Cu2Si4, relaxed, DFT GGA-PBE" sg="Immm (71)" magnetic_moment_mub_per_cell=0.01 energy_ev_per_cell=-66.8 pbc="T T T"
La 0.000 0.000 0.000
Pr 2.072 0.000 3.614
Pr 0.000 2.077 8.224
Fe 0.000 0.000 5.894
Fe 0.000 0.000 17.782
Cu 2.072 0.000 9.468
Cu 0.000 2.077 2.370
Si 2.072 0.000 6.988
Si 0.000 0.000 10.628
Si 0.000 0.000 13.049
Si 0.000 2.077 4.850



7.
11
Lattice="6.642 0.000 0.000 0.000 3.919 0.000 -0.057 0.000 7.592" Properties=species:S:1:pos:R:3 comment="HfZr2NiAs4Pd3, relaxed, DFT GGA-PBE" sg="Pm (6)" de_polymorph_mev_per_atom=0 magnetic_moment_mub_per_cell=0.00 pbc="T T T"
Hf 0.000 0.000 0.000
Zr 0.443 1.960 4.719
Zr 3.696 1.960 3.679
Ni 1.020 1.960 1.876
As 1.801 1.960 7.208
As 1.885 0.000 3.076
As 5.059 1.960 1.404
As 5.151 0.000 5.164
Pd 2.469 0.000 5.688
Pd 4.441 1.960 6.611
Pd 5.969 0.000 2.753



8.
7
Lattice="2.383 1.376 8.368 -2.383 1.376 8.368 0.000 -2.752 8.368" Properties=species:S:1:pos:R:3 comment="Zr2Ag2Sn3, relaxed, DFT GGA-PBE" sg="R3m (160)" magnetic_moment_mub_per_cell=0.02 energy_ev_per_cell=-34.5 pbc="T T T"
Zr 0.000 0.000 0.000
Zr 0.000 0.000 12.544
Ag 0.000 0.000 6.099
Ag 0.000 0.000 18.872
Sn 0.000 0.000 9.718
Sn 0.000 0.000 15.664
Sn 0.000 0.000 21.760